Material: Pr2ZnGe4Pt3
Method: DFT, PBE
State: optimized geometry

Lattice parameters (Å, degrees): 4.3663 4.3663 10.2645 90.00 90.00 90.00
Space group P-4m2 (No. 115)
Symmetry-distinct sites (fractional):
Pr 0.0000 0.5000 0.2502 [2 per cell]
Zn 0.0000 0.0000 0.5000 [1 per cell]
Ge 0.0000 0.0000 0.0000 [1 per cell]
Ge 0.0000 0.5000 0.6355 [2 per cell]
Ge 0.5000 0.5000 0.0000 [1 per cell]
Pt 0.0000 0.5000 0.8774 [2 per cell]
Pt 0.5000 0.5000 0.5000 [1 per cell]

Values from the calculation:
The density of states at the Fermi level comes out at 0.402 states/eV per atom. Its mass density is 10.38 g cm⁻³. The total magnetic moment comes out at 0.0 μB per cell. The calculation puts the formation energy at -0.85 eV/atom.